Material: Y2PuAu3
Method: DFT, PBE
State: optimized geometry

a = 3.589 Å, b = 3.589 Å, c = 11.016 Å
α = 90.00°, β = 90.00°, γ = 90.00°
Space group P4/mmm (No. 123)
One atom of each set of equivalent atoms:
Y 0.000 0.000 0.165 [2 per cell]
Pu 0.000 0.000 0.500 [1 per cell]
Au 0.500 0.500 0.000 [1 per cell]
Au 0.500 0.500 0.321 [2 per cell]

energy of formation from the pure elements: -0.71 eV/atom
mass density: 11.8 g cm⁻³
calculated volume: 23.66 Å³/atom

Material: ZrMn2PdN
Method: DFT, PBE
State: optimized geometry

a = 3.891 Å, b = 3.891 Å, c = 4.398 Å
α = 90.00°, β = 90.00°, γ = 90.00°
Space group P4/mmm (No. 123)
One atom of each set of equivalent atoms:
Zr 0.000 0.000 0.000 [1 per cell]
Mn 0.000 0.500 0.500 [2 per cell]
Pd 0.500 0.500 0.000 [1 per cell]
N 0.500 0.500 0.500 [1 per cell]

raw formation energy: -82 kJ/mol of formula units
mass density: 8.0 g cm⁻³
calculated volume: 13.32 Å³/atom

Material: FeCoW2
Method: DFT, PBE
State: optimized geometry

a = 3.330 Å, b = 4.169 Å, c = 7.927 Å
α = 90.00°, β = 90.00°, γ = 90.00°
Space group Cmm2 (No. 35)
One atom of each set of equivalent atoms:
Fe 0.000 0.000 0.000 [2 per cell]
Co 0.000 0.500 0.215 [2 per cell]
W 0.000 0.000 0.455 [2 per cell]
W 0.000 0.500 0.744 [2 per cell]

energy of formation from the pure elements: 0.15 eV/atom
mass density: 14.6 g cm⁻³
calculated volume: 13.76 Å³/atom
energy above the lowest structure with this stoichiometry: 47 meV/atom

Material: ErBeRu
Method: DFT, PBE
State: optimized geometry

a = 3.8144 Å, b = 3.8144 Å, c = 12.7367 Å
α = 90.00°, β = 90.00°, γ = 120.00°
Space group R3m (No. 160, hexagonal axes)
One atom of each set of equivalent atoms:
Er 0.0000 0.0000 0.0000 [3 per cell]
Be 0.0000 0.0000 0.7931 [3 per cell]
Ru 0.0000 0.0000 0.4918 [3 per cell]

energy of formation from the pure elements: -0.08 eV/atom
mass density: 8.6 g cm⁻³
calculated volume: 17.83 Å³/atom
energy above the lowest structure with this stoichiometry: 259 meV/atom

Material: HfNbAs
Method: DFT, PBE
State: optimized geometry

a = 15.647 Å, b = 3.478 Å, c = 8.940 Å
α = 90.00°, β = 93.29°, γ = 90.00°
Space group C2/m (No. 12)
One atom of each set of equivalent atoms:
Hf 0.042 0.000 0.336 [4 per cell]
Hf 0.093 0.500 0.841 [4 per cell]
Nb 0.237 0.000 0.372 [4 per cell]
Nb 0.250 0.000 0.874 [4 per cell]
As 0.123 0.000 0.083 [4 per cell]
As 0.133 0.000 0.614 [4 per cell]

energy of formation from the pure elements: -0.29 eV/atom
mass density: 9.5 g cm⁻³
calculated volume: 20.24 Å³/atom

Material: PmPrTeBr2
Method: DFT, PBE
State: optimized geometry

a = 4.618 Å, b = 4.618 Å, c = 14.647 Å
α = 90.00°, β = 90.00°, γ = 90.00°
Space group I4mm (No. 107)
One atom of each set of equivalent atoms:
Pm 0.000 0.000 0.000 [2 per cell]
Pr 0.000 0.000 0.233 [2 per cell]
Te 0.000 0.000 0.618 [2 per cell]
Br 0.000 0.500 0.371 [4 per cell]

raw formation energy: -582 kJ/mol of formula units
mass density: 6.1 g cm⁻³
calculated volume: 31.23 Å³/atom

Material: ScCd8Ag6
Method: DFT, PBE
State: optimized geometry

a = 8.0899 Å, b = 8.0899 Å, c = 17.1703 Å
α = 90.00°, β = 90.00°, γ = 120.00°
Space group R-3 (No. 148, hexagonal axes)
One atom of each set of equivalent atoms:
Sc 0.0000 0.0000 0.0000 [3 per cell]
Cd 0.0000 0.0000 0.2742 [6 per cell]
Cd 0.0106 0.6963 0.1257 [18 per cell]
Ag 0.0029 0.6965 0.6249 [18 per cell]

energy of formation from the pure elements: -0.03 eV/atom
mass density: 8.1 g cm⁻³
calculated volume: 21.63 Å³/atom
energy above the lowest structure with this stoichiometry: 2 meV/atom

Material: SrPu2S4
Method: DFT, PBE
State: optimized geometry

a = 4.017 Å, b = 13.129 Å, c = 13.370 Å
α = 90.00°, β = 90.00°, γ = 90.00°
Space group Cmcm (No. 63)
One atom of each set of equivalent atoms:
Sr 0.000 0.112 0.250 [4 per cell]
Pu 0.000 0.367 0.066 [8 per cell]
S 0.000 0.000 0.000 [4 per cell]
S 0.000 0.267 0.615 [8 per cell]
S 0.000 0.449 0.250 [4 per cell]

raw formation energy: -1219 kJ/mol of formula units
mass density: 6.6 g cm⁻³
calculated volume: 25.19 Å³/atom

Material: RbHgSb4
Method: DFT, PBE
State: optimized geometry

a = 9.461 Å, b = 9.461 Å, c = 9.461 Å
α = 90.00°, β = 90.00°, γ = 90.00°
Space group F-43m (No. 216)
One atom of each set of equivalent atoms:
Rb 0.000 0.000 0.000 [4 per cell]
Hg 0.250 0.250 0.250 [4 per cell]
Sb 0.111 0.111 0.611 [16 per cell]

raw formation energy: -20 kJ/mol of formula units
mass density: 6.1 g cm⁻³
calculated volume: 35.29 Å³/atom

Material: DyIrCl6
Method: DFT, PBE
State: optimized geometry

a = 6.3130 Å, b = 6.3130 Å, c = 17.1931 Å
α = 90.00°, β = 90.00°, γ = 120.00°
Space group R-3 (No. 148, hexagonal axes)
One atom of each set of equivalent atoms:
Dy 0.0000 0.0000 0.0000 [3 per cell]
Ir 0.0000 0.0000 0.5000 [3 per cell]
Cl 0.0042 0.3099 0.4210 [18 per cell]

raw formation energy: -976 kJ/mol of formula units
mass density: 4.8 g cm⁻³
calculated volume: 24.72 Å³/atom

Material: Zr5Si3
Method: DFT, PBE
State: optimized geometry

a = 8.0110 Å, b = 8.0110 Å, c = 5.5747 Å
α = 90.00°, β = 90.00°, γ = 120.00°
Space group P6_3/mcm (No. 193)
One atom of each set of equivalent atoms:
Zr 0.0000 0.2538 0.2500 [6 per cell]
Zr 0.3333 0.6667 0.0000 [4 per cell]
Si 0.0000 0.3891 0.7500 [6 per cell]

raw formation energy: -635 kJ/mol of formula units
mass density: 5.8 g cm⁻³
calculated volume: 19.36 Å³/atom
energy above the lowest structure with this stoichiometry: 0 meV/atom

Material: K3Na7Li2
Method: DFT, PBE
State: optimized geometry

a = 7.2484 Å, b = 7.2484 Å, c = 33.7183 Å
α = 90.00°, β = 90.00°, γ = 120.00°
Space group R-3m (No. 166, hexagonal axes)
One atom of each set of equivalent atoms:
K 0.0000 0.0000 0.0000 [3 per cell]
K 0.0000 0.0000 0.1424 [6 per cell]
Na 0.0000 0.0000 0.5000 [3 per cell]
Na 0.9998 0.4999 0.0771 [18 per cell]
Li 0.0000 0.0000 0.3331 [6 per cell]

energy of formation from the pure elements: 0.04 eV/atom
mass density: 0.9 g cm⁻³
calculated volume: 42.62 Å³/atom

Material: Tb2GaTcC
Method: DFT, PBE
State: optimized geometry

a = 4.953 Å, b = 4.953 Å, c = 3.981 Å
α = 90.00°, β = 90.00°, γ = 90.00°
Space group P4/mmm (No. 123)
One atom of each set of equivalent atoms:
Tb 0.000 0.500 0.000 [2 per cell]
Ga 0.000 0.000 0.500 [1 per cell]
Tc 0.500 0.500 0.500 [1 per cell]
C 0.500 0.500 0.000 [1 per cell]

energy of formation from the pure elements: -0.39 eV/atom
mass density: 8.5 g cm⁻³
calculated volume: 19.53 Å³/atom

Material: Si4Hg3
Method: DFT, PBE
State: optimized geometry

a = 5.398 Å, b = 5.398 Å, c = 5.398 Å
α = 90.00°, β = 90.00°, γ = 90.00°
Space group P-43m (No. 215)
One atom of each set of equivalent atoms:
Si 0.163 0.163 0.837 [4 per cell]
Hg 0.000 0.500 0.500 [3 per cell]

raw formation energy: 304 kJ/mol of formula units
mass density: 7.5 g cm⁻³
calculated volume: 22.47 Å³/atom
energy above the lowest structure with this stoichiometry: 168 meV/atom

Material: Tb4SnRu2
Method: DFT, PBE
State: optimized geometry

a = 5.089 Å, b = 8.822 Å, c = 14.980 Å
α = 90.00°, β = 90.00°, γ = 90.00°
Space group Cmcm (No. 63)
One atom of each set of equivalent atoms:
Tb 0.000 0.000 0.000 [4 per cell]
Tb 0.000 0.333 0.122 [8 per cell]
Tb 0.000 0.334 0.750 [4 per cell]
Sn 0.000 0.001 0.750 [4 per cell]
Ru 0.000 0.334 0.560 [8 per cell]

energy of formation from the pure elements: -0.35 eV/atom
mass density: 9.4 g cm⁻³
calculated volume: 24.02 Å³/atom
energy above the lowest structure with this stoichiometry: 41 meV/atom

Material: Ba2Cd2Pb
Method: DFT, PBE
State: optimized geometry

a = 9.817 Å, b = 9.817 Å, c = 4.092 Å
α = 90.00°, β = 90.00°, γ = 90.00°
Space group P4/mbm (No. 127)
One atom of each set of equivalent atoms:
Ba 0.181 0.319 0.000 [4 per cell]
Cd 0.113 0.613 0.500 [4 per cell]
Pb 0.000 0.000 0.000 [2 per cell]

energy of formation from the pure elements: -0.13 eV/atom
mass density: 6.0 g cm⁻³
calculated volume: 39.44 Å³/atom
energy above the lowest structure with this stoichiometry: 266 meV/atom

Material: TaGe2Br
Method: DFT, PBE
State: optimized geometry

a = 6.215 Å, b = 6.215 Å, c = 12.580 Å
α = 90.00°, β = 90.00°, γ = 90.00°
Space group I-42d (No. 122)
One atom of each set of equivalent atoms:
Ta 0.000 0.000 0.000 [4 per cell]
Ge 0.195 0.250 0.125 [8 per cell]
Br 0.000 0.000 0.500 [4 per cell]

raw formation energy: 292 kJ/mol of formula units
mass density: 5.6 g cm⁻³
calculated volume: 30.37 Å³/atom
energy above the lowest structure with this stoichiometry: 0 meV/atom

Material: BaIn3Au2
Method: DFT, PBE
State: optimized geometry

a = 18.597 Å, b = 4.645 Å, c = 11.509 Å
α = 90.00°, β = 104.77°, γ = 90.00°
Space group C2/m (No. 12)
One atom of each set of equivalent atoms:
Ba 0.000 0.000 0.000 [2 per cell]
Ba 0.157 0.000 0.704 [4 per cell]
In 0.000 0.500 0.500 [2 per cell]
In 0.041 0.000 0.349 [4 per cell]
In 0.124 0.500 0.205 [4 per cell]
In 0.173 0.500 0.967 [4 per cell]
In 0.211 0.000 0.382 [4 per cell]
Au 0.032 0.500 0.793 [4 per cell]
Au 0.146 0.500 0.466 [4 per cell]
Au 0.199 0.000 0.126 [4 per cell]

energy of formation from the pure elements: -0.47 eV/atom
mass density: 9.1 g cm⁻³
calculated volume: 26.70 Å³/atom
energy above the lowest structure with this stoichiometry: 0 meV/atom

Material: TaInP2
Method: DFT, PBE
State: optimized geometry

a = 5.992 Å, b = 5.992 Å, c = 11.118 Å
α = 90.00°, β = 90.00°, γ = 90.00°
Space group I-42d (No. 122)
One atom of each set of equivalent atoms:
Ta 0.000 0.000 0.000 [4 per cell]
In 0.000 0.000 0.500 [4 per cell]
P 0.214 0.250 0.125 [8 per cell]

energy of formation from the pure elements: 0.04 eV/atom
mass density: 6.0 g cm⁻³
calculated volume: 24.95 Å³/atom

Material: GaCu2AsSe4
Method: DFT, PBE
State: optimized geometry

a = 8.149 Å, b = 8.162 Å, c = 11.464 Å
α = 90.00°, β = 90.00°, γ = 90.00°
Space group Fmm2 (No. 42)
One atom of each set of equivalent atoms:
Ga 0.000 0.000 0.000 [4 per cell]
Cu 0.250 0.250 0.250 [8 per cell]
As 0.000 0.000 0.500 [4 per cell]
Se 0.000 0.236 0.135 [8 per cell]
Se 0.237 0.000 0.865 [8 per cell]

raw formation energy: -179 kJ/mol of formula units
mass density: 5.1 g cm⁻³
calculated volume: 23.83 Å³/atom

no.,E (eV/atom)
1,-6.892
2,-8.251
3,-10.223
4,-5.933
5,-8.514
6,-4.409
7,-2.077
8,-8.498
9,-2.994
10,-4.332
11,-8.199
12,-1.319
13,-6.760
14,-2.779
15,-6.220
16,-2.012
17,-4.932
18,-3.256
19,-6.317
20,-3.958